A relaxed structure of LiTa2Ti3N6, computed with GGA-PBE.

Geometry as extended XYZ:
```
12
Lattice="6.630 -1.521 0.000 6.630 1.521 0.000 -1.391 0.000 5.905" Properties=species:S:1:pos:R:3 pbc="T T T"
Li 0.000 0.000 0.000
Ta 3.614 0.000 3.982
Ta 8.255 0.000 1.924
Ti -0.695 0.000 2.953
Ti 4.326 0.000 1.009
Ti 7.543 0.000 4.897
N 1.399 0.000 3.472
N 2.118 0.000 0.486
N 6.282 0.000 1.486
N 5.588 0.000 4.420
N 9.751 0.000 5.419
N 10.470 0.000 2.433
```

The uncorrected formation energy comes out at -1.3992 eV per atom. The value obtained for the total DFT energy (no corrections) is -9.671 eV/atom. For the magnetization, the calculation gives 0.000 Bohr magnetons per cell.